# K3NdTm2Se6 (PBE, optimized geometry)
data_K3NdTm2Se6
_chemical_formula_sum 'K6 Nd2 Tm4 Se12'
_space_group_name_H-M_alt 'C 1 2/m 1'
_space_group_IT_number 12
_cell_length_a 7.3207
_cell_length_b 12.6813
_cell_length_c 8.0666
_cell_angle_alpha 90.00
_cell_angle_beta 107.64
_cell_angle_gamma 90.00
loop_
_space_group_symop_operation_xyz
'x,y,z'
'-x,-y,-z'
'-x,y,-z'
'x,-y,z'
'x+1/2,y+1/2,z'
'-x+1/2,-y+1/2,-z'
'-x+1/2,y+1/2,-z'
'x+1/2,-y+1/2,z'
loop_
_atom_site_label
_atom_site_fract_x
_atom_site_fract_y
_atom_site_fract_z
_atom_site_occupancy
K1 0.0000 0.0000 0.0000 1
K2 0.0000 0.3353 0.0000 1
Nd1 0.0000 0.5000 0.5000 1
Tm1 0.0000 0.1669 0.5000 1
Se1 0.2240 0.0000 0.7050 1
Se2 0.2407 0.3279 0.7053 1
# E_tot: -4.908 eV per atom
# Calculated volume: 29.74 Å³ per atom
# DOS(E_F): 0.00 states/eV/cell
# Uncorrected formation energy: -40.32 kcal/mol of atoms
# Magnetic moment: 0.00 μB per formula unit


# KNd2TmSe4 (PBE, optimized geometry)
data_KNd2TmSe4
_chemical_formula_sum 'K1 Nd2 Tm1 Se4'
_space_group_name_H-M_alt 'P 1 2/m 1'
_space_group_IT_number 10
_cell_length_a 7.3743
_cell_length_b 4.1826
_cell_length_c 7.4026
_cell_angle_alpha 90.00
_cell_angle_beta 108.49
_cell_angle_gamma 90.00
loop_
_space_group_symop_operation_xyz
'x,y,z'
'-x,-y,-z'
'-x,y,-z'
'x,-y,z'
loop_
_atom_site_label
_atom_site_fract_x
_atom_site_fract_y
_atom_site_fract_z
_atom_site_occupancy
K1 0.0000 0.0000 0.0000 1
Nd1 0.5000 0.0000 0.5000 1
Nd2 0.5000 0.5000 0.0000 1
Tm1 0.0000 0.5000 0.5000 1
Se1 0.2396 0.0000 0.7333 1
Se2 0.2539 0.5000 0.2681 1
# E_tot: -5.331 eV per atom
# Calculated volume: 27.07 Å³ per atom
# DOS(E_F): 2.76 states/eV/cell
# Uncorrected formation energy: -39.21 kcal/mol of atoms
# Magnetic moment: 0.00 μB per formula unit


# K2Nd2USe6 (PBE, optimized geometry)
data_K2Nd2USe6
_chemical_formula_sum 'K4 Nd4 U2 Se12'
_space_group_name_H-M_alt 'C 1 2/m 1'
_space_group_IT_number 12
_cell_length_a 7.4402
_cell_length_b 12.7751
_cell_length_c 8.2213
_cell_angle_alpha 90.00
_cell_angle_beta 107.80
_cell_angle_gamma 90.00
loop_
_space_group_symop_operation_xyz
'x,y,z'
'-x,-y,-z'
'-x,y,-z'
'x,-y,z'
'x+1/2,y+1/2,z'
'-x+1/2,-y+1/2,-z'
'-x+1/2,y+1/2,-z'
'x+1/2,-y+1/2,z'
loop_
_atom_site_label
_atom_site_fract_x
_atom_site_fract_y
_atom_site_fract_z
_atom_site_occupancy
K1 0.0000 0.1699 0.0000 1
Nd1 0.0000 0.3337 0.5000 1
U1 0.0000 0.0000 0.5000 1
Se1 0.2291 0.1611 0.7035 1
Se2 0.2493 0.0000 0.2974 1
# E_tot: -5.575 eV per atom
# Calculated volume: 33.82 Å³ per atom
# DOS(E_F): 13.90 states/eV/cell
# Uncorrected formation energy: -36.47 kcal/mol of atoms
# Magnetic moment: 2.00 μB per formula unit


# K3NdU2Se6 (PBE, optimized geometry)
data_K3NdU2Se6
_chemical_formula_sum 'K6 Nd2 U4 Se12'
_space_group_name_H-M_alt 'C 1 2/m 1'
_space_group_IT_number 12
_cell_length_a 7.3811
_cell_length_b 12.7853
_cell_length_c 8.1169
_cell_angle_alpha 90.00
_cell_angle_beta 107.65
_cell_angle_gamma 90.00
loop_
_space_group_symop_operation_xyz
'x,y,z'
'-x,-y,-z'
'-x,y,-z'
'x,-y,z'
'x+1/2,y+1/2,z'
'-x+1/2,-y+1/2,-z'
'-x+1/2,y+1/2,-z'
'x+1/2,-y+1/2,z'
loop_
_atom_site_label
_atom_site_fract_x
_atom_site_fract_y
_atom_site_fract_z
_atom_site_occupancy
K1 0.0000 0.0000 0.0000 1
K2 0.0000 0.3351 0.0000 1
Nd1 0.0000 0.5000 0.5000 1
U1 0.0000 0.1668 0.5000 1
Se1 0.2289 0.0000 0.7094 1
Se2 0.2404 0.3296 0.7097 1
# E_tot: -5.694 eV per atom
# Calculated volume: 30.41 Å³ per atom
# DOS(E_F): 19.82 states/eV/cell
# Uncorrected formation energy: -32.25 kcal/mol of atoms
# Magnetic moment: 6.01 μB per formula unit


# K3Nd2USe6 (PBE, optimized geometry)
data_K3Nd2USe6
_chemical_formula_sum 'K6 Nd4 U2 Se12'
_space_group_name_H-M_alt 'C 1 2/m 1'
_space_group_IT_number 12
_cell_length_a 7.4798
_cell_length_b 12.9553
_cell_length_c 8.1132
_cell_angle_alpha 90.00
_cell_angle_beta 107.89
_cell_angle_gamma 90.00
loop_
_space_group_symop_operation_xyz
'x,y,z'
'-x,-y,-z'
'-x,y,-z'
'x,-y,z'
'x+1/2,y+1/2,z'
'-x+1/2,-y+1/2,-z'
'-x+1/2,y+1/2,-z'
'x+1/2,-y+1/2,z'
loop_
_atom_site_label
_atom_site_fract_x
_atom_site_fract_y
_atom_site_fract_z
_atom_site_occupancy
K1 0.0000 0.0000 0.0000 1
K2 0.0000 0.3319 0.0000 1
Nd1 0.0000 0.1665 0.5000 1
U1 0.0000 0.5000 0.5000 1
Se1 0.2341 0.3361 0.7107 1
Se2 0.2426 0.0000 0.7110 1
# E_tot: -5.318 eV per atom
# Calculated volume: 31.17 Å³ per atom
# DOS(E_F): 18.83 states/eV/cell
# Uncorrected formation energy: -36.12 kcal/mol of atoms
# Magnetic moment: 3.01 μB per formula unit


# K3Nd3USe8 (PBE, optimized geometry)
data_K3Nd3USe8
_chemical_formula_sum 'K6 Nd6 U2 Se16'
_space_group_name_H-M_alt 'C 1 2/m 1'
_space_group_IT_number 12
_cell_length_a 14.9122
_cell_length_b 8.6002
_cell_length_c 9.2590
_cell_angle_alpha 90.00
_cell_angle_beta 122.49
_cell_angle_gamma 90.00
loop_
_space_group_symop_operation_xyz
'x,y,z'
'-x,-y,-z'
'-x,y,-z'
'x,-y,z'
'x+1/2,y+1/2,z'
'-x+1/2,-y+1/2,-z'
'-x+1/2,y+1/2,-z'
'x+1/2,-y+1/2,z'
loop_
_atom_site_label
_atom_site_fract_x
_atom_site_fract_y
_atom_site_fract_z
_atom_site_occupancy
K1 0.0000 0.0000 0.0000 1
K2 0.2500 0.2500 0.0000 1
Nd1 0.0000 0.5000 0.5000 1
Nd2 0.2500 0.2500 0.5000 1
U1 0.0000 0.0000 0.5000 1
Se1 0.0130 0.2405 0.2986 1
Se2 0.2276 0.0000 0.7015 1
Se3 0.2370 0.5000 0.7109 1
# E_tot: -5.413 eV per atom
# Calculated volume: 33.39 Å³ per atom
# DOS(E_F): 11.42 states/eV/cell
# Uncorrected formation energy: -37.58 kcal/mol of atoms
# Magnetic moment: 2.00 μB per formula unit


# KNd2USe5 (PBE, optimized geometry)
data_KNd2USe5
_chemical_formula_sum 'K2 Nd4 U2 Se10'
_space_group_name_H-M_alt 'I m m m'
_space_group_IT_number 71
_space_group_name_Hall '-I 2 2'
_cell_length_a 5.2882
_cell_length_b 7.5231
_cell_length_c 14.5787
_cell_angle_alpha 90.00
_cell_angle_beta 90.00
_cell_angle_gamma 90.00
loop_
_atom_site_label
_atom_site_fract_x
_atom_site_fract_y
_atom_site_fract_z
_atom_site_occupancy
K1 0.0000 0.0000 0.0000 1
Nd1 0.0000 0.5000 0.2029 1
U1 0.0000 0.0000 0.5000 1
Se1 0.0000 0.2394 0.3491 1
Se2 0.0000 0.5000 0.0000 1
# E_tot: -5.838 eV per atom
# Calculated volume: 32.22 Å³ per atom
# DOS(E_F): 14.32 states/eV/cell
# Uncorrected formation energy: -33.82 kcal/mol of atoms
# Magnetic moment: 2.68 μB per formula unit


# K3Nd3VSe8 (PBE, optimized geometry)
data_K3Nd3VSe8
_chemical_formula_sum 'K9 Nd9 V3 Se24'
_space_group_name_H-M_alt 'R -3 m'
_space_group_IT_number 166
_space_group_name_Hall '-R 3 2"'
_cell_length_a 8.3786
_cell_length_b 8.3786
_cell_length_c 23.6117
_cell_angle_alpha 90.00
_cell_angle_beta 90.00
_cell_angle_gamma 120.00
loop_
_atom_site_label
_atom_site_fract_x
_atom_site_fract_y
_atom_site_fract_z
_atom_site_occupancy
K1 0.0000 0.5000 0.0000 1
Nd1 0.0000 0.5000 0.5000 1
V1 0.0000 0.0000 0.5000 1
Se1 0.0000 0.0000 0.2380 1
Se2 0.0376 0.5188 0.2304 1
# E_tot: -5.084 eV per atom
# Calculated volume: 31.90 Å³ per atom
# DOS(E_F): 18.85 states/eV/cell
# Uncorrected formation energy: -33.32 kcal/mol of atoms
# Magnetic moment: 0.99 μB per formula unit


Question: The lowest E_tot belongs to which entry?
Answer: KNd2USe5


Question: DOS(E_F) of number 2 (KNd2TmSe4)?
Answer: 2.76 states/eV/cell